# NdTm3Te6 (PBE, relaxed)
data_NdTm3Te6
_chemical_formula_sum 'Nd2 Tm6 Te12'
_cell_length_a 12.428
_cell_length_b 4.360
_cell_length_c 12.754
_cell_angle_alpha 90.00
_cell_angle_beta 109.36
_cell_angle_gamma 90.00
_space_group_name_H-M_alt 'P 1 21/m 1'
_space_group_IT_number 11
loop_
_space_group_symop_operation_xyz
'x,y,z'
'-x,-y,-z'
'-x,y+1/2,-z'
'x,-y+1/2,z'
loop_
_atom_site_label
_atom_site_type_symbol
_atom_site_fract_x
_atom_site_fract_y
_atom_site_fract_z
Nd1 Nd 0.048 0.250 0.198
Tm1 Tm 0.156 0.250 0.583
Tm2 Tm 0.317 0.750 0.999
Tm3 Tm 0.436 0.250 0.335
Te1 Te 0.084 0.750 0.405
Te2 Te 0.116 0.250 0.968
Te3 Te 0.197 0.750 0.750
Te4 Te 0.260 0.750 0.223
Te5 Te 0.391 0.250 0.559
Te6 Te 0.482 0.250 0.116
# DFT total energy: -5.08 eV per atom
# raw formation energy: -1375 meV/atom